VASP calculation (PBE) on crystalline TbPa2 at its relaxed geometry.

ΔE_f in eV/atom: 3.02
Space-group type: Fd-3m, No. 227
Volume in Å³/cell: 414.6

Lattice parameters (Å, degrees): 8.3700 8.3700 8.3700 60.00 60.00 60.00
Closest atoms and distances in Å follow each position.
Fractional coordinates of all 6 atoms:
Tb1 0.5000 0.5000 0.5000  4 Pa 2.56
Tb2 0.2500 0.2500 0.2500  4 Pa 2.56
Pa1 0.8750 0.3750 0.3750  2 Tb 2.56
Pa2 0.3750 0.3750 0.8750  2 Tb 2.56
Pa3 0.3750 0.8750 0.3750  2 Tb 2.56
Pa4 0.3750 0.3750 0.3750  2 Tb 2.56